[1]
## TmTh2Mg (PBE)

Data for a relaxed structure of TmTh2Mg.

abc: 3.7182 5.6760 5.6760
angles: 90.00 90.00 90.00
Last column: nearest neighbours and their distance in Å.
Atoms (fractional coordinates):
Tm  0.5000  0.5000  0.5000  8 Th 3.39, 2 Tm 3.72
Mg  0.5000  0.0000  0.0000  8 Th 3.39, 2 Mg 3.72
Th  0.0000  0.5000  0.0000  4 Tm 3.39, 4 Mg 3.39, 2 Th 3.72
Th  0.0000  0.0000  0.5000  4 Tm 3.39, 4 Mg 3.39, 2 Th 3.72

Output
Crystal system ... tetragonal
Polymorph energy (0 for the lowest one) ... 0.42 eV per formula unit

***

[2]
## ScNi2Ru (PBE)

Data for a relaxed structure of ScNi2Ru.

abc: 4.2896 4.2896 4.2896
angles: 60.00 60.00 60.00
Last column: nearest neighbours and their distance in Å.
Atoms (fractional coordinates):
Sc  0.0000  0.0000  0.0000  8 Ni 2.63
Ni  0.7500  0.7500  0.7500  4 Ru 2.63, 4 Sc 2.63
Ni  0.2500  0.2500  0.2500  4 Ru 2.63, 4 Sc 2.63
Ru  0.5000  0.5000  0.5000  8 Ni 2.63

Output
Crystal system ... cubic

***

[3]
## Y2BeCo (PBE)

Data for a relaxed structure of Y2BeCo.

abc: 5.5322 5.5322 5.5322
angles: 137.22 137.22 62.09
Last column: nearest neighbours and their distance in Å.
Atoms (fractional coordinates):
Be  0.5000  0.5000  0.0000  8 Y 2.85-3.11, 4 Co 3.11
Co  0.7500  0.2500  0.5000  8 Y 2.85-3.11, 4 Be 3.11
Y  0.0000  0.0000  0.0000  4 Be 2.85, 4 Co 3.11, 4 Y 3.11
Y  0.2500  0.7500  0.5000  4 Co 2.85, 4 Y 3.11, 4 Be 3.11

Output
Crystal system ... tetragonal

***

[4]
## NbTlCr2Os (PBE)

Data for a relaxed structure of NbTlCr2Os.

abc: 4.7276 4.9193 4.7276
angles: 90.00 90.00 90.00
Last column: nearest neighbours and their distance in Å.
Atoms (fractional coordinates):
Os  0.0000  0.0000  0.0000  4 Cr 2.36, 2 Nb 2.46
Cr  0.5000  0.0000  0.0000  2 Os 2.36
Cr  0.0000  0.0000  0.5000  2 Os 2.36
Nb  0.0000  0.5000  0.0000  2 Os 2.46
Tl  0.5000  0.5000  0.5000  4 Nb 3.34, 8 Cr 3.41

Output
Crystal system ... tetragonal

***

Short version: ρ = 9.1; 7.8; 5.3; 8.9 Mg/m³, in the order given.
Short version: DFT formation energy = 0.113; -0.130; 0.251; 1.099 eV/atom, in the order given.